A relaxed SrMnCu2Ir crystal, computed with GGA-PBE.

- E_form: 1.284 eV per atom
- Calculated density: 6.96 g/cm3
- D(E_F): 5.4 states/eV per cell

Lattice parameters (Å, degrees): 4.522 5.389 4.522 90.00 90.00 90.00
Sites, in units of the cell vectors:
1 Cu 0.500 0.000 0.000
2 Mn 0.000 0.000 0.000
3 Sr 0.000 0.500 0.000
4 Ir 0.500 0.500 0.500
5 Cu 0.000 0.000 0.500


A relaxed Na10B11C9 crystal, computed with GGA-PBE.

- E_form: 0.027 eV per atom
- Calculated density: 2.57 g/cm3
- D(E_F): 3.6 states/eV per cell
- Excess energy over the best structure of this formula in the dataset: 2 meV/atom

Lattice parameters (Å, degrees): 12.423 12.423 8.443 90.00 90.00 166.93
Sites, in units of the cell vectors:
1 B 0.064 0.936 0.250
2 Na 0.400 0.600 0.501
3 C 0.130 0.870 0.250
4 B 0.533 0.467 0.750
5 Na 0.000 0.000 0.999
6 C 0.337 0.663 0.250
7 Na 0.800 0.200 0.999
8 C 0.867 0.133 0.750
9 B 0.467 0.533 0.250
10 Na 0.200 0.800 0.002
11 B 0.734 0.266 0.750
12 B 0.273 0.727 0.250
13 B 0.661 0.339 0.250
14 Na 0.400 0.600 0.999
15 Na 0.200 0.800 0.498
16 C 0.667 0.333 0.750
17 C 0.067 0.933 0.750
18 C 0.467 0.533 0.750
19 C 0.935 0.065 0.250
20 Na 0.600 0.400 0.999
21 B 0.869 0.131 0.250
22 Na 0.000 0.000 0.501
23 B 0.933 0.067 0.750
24 B 0.134 0.866 0.750
25 Na 0.800 0.200 0.501
26 B 0.732 0.268 0.250
27 C 0.532 0.468 0.250
28 C 0.267 0.733 0.750
29 Na 0.600 0.400 0.501
30 B 0.333 0.667 0.750


Question: Which of these has the highest calculated density?
Answer: SrMnCu2Ir


Question: Among the records above, which one has the lowest E_form?
Answer: Na10B11C9


Question: What is the formula in the second record?
Answer: Na10B11C9


Question: The lowest calculated density belongs to which entry?
Answer: Na10B11C9